# PBE-GGA KCu2SbCl, optimized geometry
# electronic total energy = -2.531 eV per atom
# M_tot = 0.00 μB per cell
# DOS at the Fermi energy = 3.9 states/eV per cell
# raw formation energy = 0.521 eV per atom
data_KCu2SbCl
_chemical_formula_sum 'K1 Cu2 Sb1 Cl1'
_cell_length_a 4.832
_cell_length_b 4.832
_cell_length_c 5.979
_cell_angle_alpha 90.00
_cell_angle_beta 90.00
_cell_angle_gamma 90.00
_space_group_name_H-M_alt 'P 4/m m m'
_space_group_IT_number 123
_space_group_name_Hall '-P 4 2'
loop_
_atom_site_label
_atom_site_type_symbol
_atom_site_fract_x
_atom_site_fract_y
_atom_site_fract_z
K1 K 0.000 0.000 0.000
Cu1 Cu 0.000 0.500 0.500
Sb1 Sb 0.500 0.500 0.000
Cl1 Cl 0.500 0.500 0.500